(1)
Material: BeAs2Br
Method: DFT, PBE
State: optimized geometry

Output
Its space group is P4/mmm. Its energy relative to the elements, uncorrected is 795.2 meV per atom. Its density of states at the Fermi level is 1.9 states/eV/f.u. As for the uncorrected energy: -2.8794 eV per atom. The calculation puts the density at 5.23 g cm⁻³. The offset from the most stable computed form is 879 meV per atom.

a = 4.9834 Å, b = 4.9834 Å, c = 3.0519 Å
α = 90.00°, β = 90.00°, γ = 90.00°
Positions (direct):
As 0.0000 0.0000 0.0000
As 0.5000 0.5000 0.0000
Br 0.0000 0.5000 0.5000
Be 0.5000 0.0000 0.5000

(2)
Material: BeAsBr
Method: DFT, PBE
State: optimized geometry

Output
Its space group is Fmm2. Its energy relative to the elements, uncorrected is 106.4 meV per atom. Its density of states at the Fermi level is 1.3 states/eV/f.u. As for the uncorrected energy: -3.2431 eV per atom. The calculation puts the density at 3.62 g cm⁻³. The offset from the most stable computed form is 662 meV per atom.

a = 8.3471 Å, b = 7.8679 Å, c = 3.5305 Å
α = 85.15°, β = 69.92°, γ = 24.93°
Positions (direct):
Br 0.2740 0.2740 0.7260
As 0.0522 0.0522 0.9478
Be 0.6738 0.6738 0.3262

(3)
Material: BeAs2Br
Method: DFT, PBE
State: optimized geometry

Output
Its space group is Pmmm. Its energy relative to the elements, uncorrected is 691.9 meV per atom. Its density of states at the Fermi level is 1.5 states/eV/f.u. As for the uncorrected energy: -2.9827 eV per atom. The calculation puts the density at 5.25 g cm⁻³. The offset from the most stable computed form is 776 meV per atom.

a = 3.1968 Å, b = 5.1422 Å, c = 4.5971 Å
α = 90.00°, β = 90.00°, γ = 90.00°
Positions (direct):
As 0.0000 0.0000 0.0000
As 0.5000 0.5000 0.0000
Br 0.0000 0.5000 0.5000
Be 0.5000 0.0000 0.5000